Version A
Material: Li2YIr
Method: DFT, PBE-GGA
State: relaxed

The structure in extended XYZ format:
```
4
Lattice="3.2139 0.0000 0.0000 0.0000 3.8957 0.0000 0.0000 0.0000 5.5545" Properties=species:S:1:pos:R:3 pbc="T T T"
Li 0.0000 0.0000 1.0577
Li 0.0000 0.0000 4.4968
Y 1.6070 1.9478 2.7772
Ir 1.6070 1.9478 0.0000
```

Results
* V: 69.5 Å³ per cell
* space group: No. 47
* total moment: 0.0 Bohr magnetons per cell

Version B
Material: Li2YIr
Method: DFT, PBE-GGA
State: relaxed

The structure in extended XYZ format:
```
12
Lattice="4.4168 0.0000 0.0000 -2.2084 3.8250 0.0000 0.0000 0.0000 13.0353" Properties=species:S:1:pos:R:3 pbc="T T T"
Li 0.0000 0.0000 0.0000
Li 0.0000 0.0000 3.5898
Li 0.0000 2.5500 8.6902
Li 0.0000 2.5500 12.2801
Li 2.2084 1.2750 4.3451
Li 2.2084 1.2750 7.9349
Y 0.0000 0.0000 6.3481
Y 0.0000 2.5500 2.0030
Y 2.2084 1.2750 10.6933
Ir 0.0000 0.0000 9.2891
Ir 0.0000 2.5500 4.9440
Ir 2.2084 1.2750 0.5989
```

Results
* V: 220.3 Å³ per cell
* space group: No. 160
* total moment: 0.0 Bohr magnetons per cell

Relative to the most stable structure, the computed energies are version A 22.2; version B 0.0, all in kJ/mol of atoms.

Version A
Material: LiY4Ir
Method: DFT, PBE-GGA
State: relaxed

The structure in extended XYZ format:
```
12
Lattice="-5.0067 5.0067 3.7080 5.0067 -5.0067 3.7080 5.0067 5.0067 -3.7080" Properties=species:S:1:pos:R:3 pbc="T T T"
Li 0.0000 0.0000 0.0000
Li 0.0000 5.0067 1.8540
Y 5.0067 -2.6463 2.3628
Y 3.1025 0.0000 0.5923
Y 6.9110 0.0000 0.5923
Y 5.0067 3.1025 -1.2617
Y 0.0000 1.9043 2.4463
Y 2.3604 5.0067 0.5088
Y 2.6463 0.0000 4.2168
Y 5.0067 2.6463 2.3628
Ir 5.0067 0.0000 2.6292
Ir 0.0000 0.0000 4.4832
```

Results
* V: 371.8 Å³ per cell
* space group: No. 109
* total moment: 0.0 Bohr magnetons per cell

Version B
Material: LiY4Ir
Method: DFT, PBE-GGA
State: relaxed

The structure in extended XYZ format:
```
6
Lattice="0.0000 4.3240 4.3240 4.3240 0.0000 4.3240 4.3240 4.3240 0.0000" Properties=species:S:1:pos:R:3 pbc="T T T"
Li 0.0000 0.0000 0.0000
Y 5.3877 3.2602 3.2602
Y 3.2602 5.3877 3.2602
Y 3.2602 3.2602 5.3877
Y 5.3877 5.3877 5.3877
Ir 2.1620 2.1620 2.1620
```

Results
* V: 161.7 Å³ per cell
* space group: No. 216
* total moment: 0.0 Bohr magnetons per cell

Relative to the most stable structure, the computed energies are version A 0.0; version B 71.9, all in kJ/mol of atoms.

Version A
Material: Li2YIr2
Method: DFT, PBE-GGA
State: relaxed

The structure in extended XYZ format:
```
10
Lattice="7.2016 0.0000 0.0000 0.0000 7.2016 0.0000 0.0000 0.0000 2.9932" Properties=species:S:1:pos:R:3 pbc="T T T"
Li 0.7931 2.8077 0.0000
Li 2.8077 6.4085 0.0000
Li 4.3939 0.7931 0.0000
Li 6.4085 4.3939 0.0000
Y 0.0000 0.0000 0.0000
Y 3.6008 3.6008 0.0000
Ir 1.3366 4.9374 1.4966
Ir 2.2642 1.3366 1.4966
Ir 4.9374 5.8650 1.4966
Ir 5.8650 2.2642 1.4966
```

Results
* V: 155.2 Å³ per cell
* space group: No. 127
* total moment: 0.0 Bohr magnetons per cell

Version B
Material: Li2YIr2
Method: DFT, PBE-GGA
State: relaxed

The structure in extended XYZ format:
```
10
Lattice="7.3251 0.0000 0.0000 0.0000 7.3251 0.0000 0.0000 0.0000 3.0078" Properties=species:S:1:pos:R:3 pbc="T T T"
Li 1.1965 2.4660 0.0000
Li 2.4660 6.1286 0.0000
Li 4.8591 1.1965 0.0000
Li 6.1286 4.8591 0.0000
Y 0.0000 0.0000 1.5039
Y 3.6625 3.6625 1.5039
Ir 0.9263 4.5888 1.5039
Ir 2.7363 0.9263 1.5039
Ir 4.5888 6.3988 1.5039
Ir 6.3988 2.7363 1.5039
```

Results
* V: 161.4 Å³ per cell
* space group: No. 127
* total moment: 0.0 Bohr magnetons per cell

Version C
Material: Li2YIr2
Method: DFT, PBE-GGA
State: relaxed

The structure in extended XYZ format:
```
10
Lattice="4.3762 0.0000 0.0000 0.0000 4.3762 0.0000 0.0000 0.0000 8.3763" Properties=species:S:1:pos:R:3 pbc="T T T"
Li 0.0000 0.0000 1.0735
Li 0.0000 0.0000 7.3029
Li 2.1881 2.1881 3.1147
Li 2.1881 2.1881 5.2616
Y 0.0000 0.0000 4.1882
Y 2.1881 2.1881 0.0000
Ir 0.0000 2.1881 2.0941
Ir 0.0000 2.1881 6.2822
Ir 2.1881 0.0000 2.0941
Ir 2.1881 0.0000 6.2822
```

Results
* V: 160.4 Å³ per cell
* space group: No. 139
* total moment: 0.0 Bohr magnetons per cell

Relative to the most stable structure, the computed energies are version A 4.9; version B 14.5; version C 0.0, all in kJ/mol of atoms.

Version A
Material: Li2Y2Ir
Method: DFT, PBE-GGA
State: relaxed

The structure in extended XYZ format:
```
10
Lattice="6.8779 0.0000 0.0000 0.0000 6.8779 0.0000 0.0000 0.0000 4.1724" Properties=species:S:1:pos:R:3 pbc="T T T"
Li 0.7933 2.6456 0.0000
Li 2.6456 6.0846 0.0000
Li 4.2323 0.7933 0.0000
Li 6.0846 4.2323 0.0000
Y 1.4230 4.8620 2.0862
Y 2.0160 1.4230 2.0862
Y 4.8620 5.4549 2.0862
Y 5.4549 2.0160 2.0862
Ir 0.0000 0.0000 0.0000
Ir 3.4390 3.4390 0.0000
```

Results
* V: 197.4 Å³ per cell
* space group: No. 127
* total moment: 0.0 Bohr magnetons per cell

Version B
Material: Li2Y2Ir
Method: DFT, PBE-GGA
State: relaxed

The structure in extended XYZ format:
```
10
Lattice="3.5116 0.0000 0.0000 0.0000 3.5116 0.0000 0.0000 0.0000 18.5486" Properties=species:S:1:pos:R:3 pbc="T T T"
Li 0.0000 1.7558 4.6371
Li 0.0000 1.7558 13.9114
Li 1.7558 0.0000 4.6371
Li 1.7558 0.0000 13.9114
Y 0.0000 0.0000 1.6299
Y 0.0000 0.0000 16.9187
Y 1.7558 1.7558 7.6444
Y 1.7558 1.7558 10.9041
Ir 0.0000 0.0000 9.2743
Ir 1.7558 1.7558 0.0000
```

Results
* V: 228.7 Å³ per cell
* space group: No. 139
* total moment: 0.0 Bohr magnetons per cell

Version C
Material: Li2Y2Ir
Method: DFT, PBE-GGA
State: relaxed

The structure in extended XYZ format:
```
10
Lattice="7.1912 0.0000 0.0000 0.0000 7.1912 0.0000 0.0000 0.0000 5.3234" Properties=species:S:1:pos:R:3 pbc="T T T"
Li 1.0892 2.5064 0.0000
Li 2.5064 6.1021 0.0000
Li 4.6848 1.0892 0.0000
Li 6.1021 4.6848 0.0000
Y 1.2215 4.8171 2.6617
Y 2.3741 1.2215 2.6617
Y 4.8171 5.9697 2.6617
Y 5.9697 2.3741 2.6617
Ir 0.0000 0.0000 2.6617
Ir 3.5956 3.5956 2.6617
```

Results
* V: 275.3 Å³ per cell
* space group: No. 127
* total moment: 0.0 Bohr magnetons per cell

Relative to the most stable structure, the computed energies are version A 16.3; version B 0.0; version C 28.8, all in kJ/mol of atoms.